Entry 1:
# CeDy3Y3 | the Alexandria database | PBE-GGA | relaxed
# Formation energy: 182 meV/atom
# Uncorrected energy: -227.15 eV/cell
# Calculated volume: 33.53 A^3/atom
data_CeDy3Y3
_cell_length_a 6.1753
_cell_length_b 6.1753
_cell_length_c 42.6402
_cell_angle_alpha 90.00
_cell_angle_beta 90.00
_cell_angle_gamma 120.00
_space_group_name_H-M_alt 'R -3'
_space_group_IT_number 148
_space_group_name_Hall '-R 3'
loop_
_atom_site_label
_atom_site_fract_x
_atom_site_fract_y
_atom_site_fract_z
Ce1 0.0000 0.0000 0.1667
Dy1 0.0001 0.3323 0.6332
Y1 0.9999 0.3332 0.1002


Entry 2:
# Re2Se | the Alexandria database | PBE-GGA | relaxed
# Uncorrected energy: -55.03 eV/cell
# Formation energy from raw total energies: 27.9 kJ per mole of atoms
# Calculated volume: 15.33 A^3/atom
# Excess energy over the best structure of this formula in the dataset: 0.654 eV/f.u.
data_Re2Se
_cell_length_a 2.983
_cell_length_b 2.983
_cell_length_c 10.339
_cell_angle_alpha 90.00
_cell_angle_beta 90.00
_cell_angle_gamma 90.00
_space_group_name_H-M_alt 'I 4/m m m'
_space_group_IT_number 139
_space_group_name_Hall '-I 4 2'
loop_
_atom_site_label
_atom_site_fract_x
_atom_site_fract_y
_atom_site_fract_z
Re1 0.000 0.000 0.170
Se1 0.000 0.000 0.500


Entry 3:
# DyTi4 | the Alexandria database | PBE-GGA | relaxed
# Formation energy: 1434 meV/atom
# Uncorrected energy: -29.01 eV/cell
# Calculated volume: 21.85 A^3/atom
data_DyTi4
_cell_length_a 4.781
_cell_length_b 4.781
_cell_length_c 4.781
_cell_angle_alpha 90.00
_cell_angle_beta 90.00
_cell_angle_gamma 90.00
_space_group_name_H-M_alt 'P m -3 m'
_space_group_IT_number 221
_space_group_name_Hall '-P 4 2 3'
loop_
_atom_site_label
_atom_site_fract_x
_atom_site_fract_y
_atom_site_fract_z
Dy1 0.000 0.000 0.000
Ti1 0.000 0.000 0.500
Ti2 0.500 0.500 0.500